Entry 1:
A plane-wave DFT calculation with PBE was carried out for a relaxed TbHoAlFe crystal.

Output
Its formation energy from the elements is -69 meV/atom. Its space group is F-43m (216). The density of states at the Fermi level is 1.9560 states/eV/atom. Its crystal system is cubic. The calculated density is 7.8 g cm⁻³.

Cell lengths 4.975, 4.975, 4.975 Å; angles 60.00, 60.00, 60.00 degrees
Each line ends with the local moment (μB).
Positions (direct):
Al 0.250 0.250 0.250  0.00
Tb 0.000 0.000 0.000  -0.24
Ho 0.500 0.500 0.500  -0.26
Fe 0.750 0.750 0.750  2.04

Entry 2:
A plane-wave DFT calculation with PBE was carried out for a relaxed HoTh2Al12Fe3 crystal.

Output
Its formation energy from the elements is 193 meV/atom. Its space group is R-3m (166). The density of states at the Fermi level is 0.9587 states/eV/atom. Its crystal system is trigonal. The calculated density is 4.8 g cm⁻³.

Cell lengths 7.921, 7.921, 7.921 Å; angles 64.62, 64.62, 64.62 degrees
Each line ends with the local moment (μB).
Positions (direct):
Ho 0.000 0.000 0.000  -0.01
Th 0.582 0.582 0.582  0.07
Th 0.418 0.418 0.418  0.07
Al 0.273 0.273 0.904  0.00
Al 0.837 0.837 0.474  0.00
Al 0.474 0.837 0.837  0.00
Al 0.904 0.273 0.273  0.00
Al 0.837 0.474 0.837  0.00
Al 0.273 0.904 0.273  0.00
Al 0.727 0.727 0.096  0.00
Al 0.163 0.163 0.526  0.00
Al 0.526 0.163 0.163  0.00
Al 0.096 0.727 0.727  0.00
Al 0.163 0.526 0.163  0.00
Al 0.727 0.096 0.727  0.00
Fe 0.500 0.000 0.000  0.24
Fe 0.000 0.500 0.000  0.24
Fe 0.000 0.000 0.500  0.24